No. 1
This record from Alexandria describes an optimized crystal structure of Al2Ge3Mo3. The functional is PBE.

Calculated values
Space group ... Cmcm, No. 63

POSCAR file:
```
Al2Ge3Mo3
1.0
-3.0806 0.8970 1.2625
-0.3780 -3.6239 -3.0560
2.0249 -10.9227 12.7021
Ge Mo Al
6 6 4
Cartesian
-0.3000 -8.1090 5.0297 Ge
-1.4581 -2.9840 3.2708 Ge
0.0244 -10.6655 7.6377 Ge
-2.0114 -0.8064 0.3735 Ge
-1.1338 -5.5405 5.8788 Ge
0.5776 -12.8431 10.5351 Ge
-2.3651 -6.7981 3.7677 Mo
0.9314 -6.8514 7.1409 Mo
1.5875 -10.3908 11.2569 Mo
-2.5926 -4.8619 1.8368 Mo
-3.0213 -3.2587 -0.3483 Mo
1.1589 -8.7876 9.0718 Mo
-1.2584 -8.3646 7.5811 Al
-0.1753 -5.2849 3.3274 Al
-0.8538 -10.5471 10.1192 Al
-0.5799 -3.1024 0.7894 Al
```

=====

No. 2
This record from Alexandria describes an optimized crystal structure of Al2GeMo2. The functional is PBE.

Calculated values
Space group ... P4/mbm, No. 127

POSCAR file:
```
Al2GeMo2
1.0
6.6312 0.0000 0.0000
0.0000 6.6312 0.0000
0.0000 0.0000 3.4889
Ge Mo Al
2 4 4
Cartesian
0.0000 0.0000 0.0000 Ge
3.3156 3.3156 0.0000 Ge
1.1515 4.4671 1.7444 Mo
4.4671 5.4796 1.7444 Mo
5.4796 2.1640 1.7444 Mo
2.1640 1.1515 1.7444 Mo
4.1748 0.8592 0.0000 Al
2.4564 5.7720 0.0000 Al
0.8592 2.4564 0.0000 Al
5.7720 4.1748 0.0000 Al
```

=====

No. 3
This record from Alexandria describes an optimized crystal structure of AlGe2Mo. The functional is PBE.

Calculated values
Space group ... I-42d, No. 122

POSCAR file:
```
AlGe2Mo
1.0
5.9501 0.0000 0.0000
0.0000 5.9501 0.0000
2.9751 2.9751 5.4755
Mo Ge Al
2 4 2
Cartesian
5.9501 2.9751 2.7378 Mo
0.0000 0.0000 0.0000 Mo
4.5242 1.4875 1.3689 Ge
4.4626 4.4010 4.1066 Ge
7.4377 7.4992 4.1066 Ge
1.4259 4.4626 1.3689 Ge
2.9751 5.9501 2.7378 Al
2.9751 2.9751 0.0000 Al
```

=====

No. 4
This record from Alexandria describes an optimized crystal structure of AlGe3Mo. The functional is PBE.

Calculated values
Space group ... Pm-3m, No. 221

POSCAR file:
```
AlGe3Mo
1.0
-0.5706 -4.7378 1.1419
0.9415 -1.2352 -4.6545
4.7817 -0.3222 1.0527
Ge Mo Al
3 1 1
Cartesian
2.3908 -0.1611 0.5264 Ge
-0.2853 -2.3689 0.5710 Ge
0.4707 -0.6176 -2.3272 Ge
0.0000 0.0000 0.0000 Mo
2.5763 -3.1476 -1.2299 Al
```

=====

The records above yield electronic total energy values of -6.668 -6.655 -5.257 -5.218 eV/atom, respectively.